[1]
Material: AgHg2Te
Method: DFT, PBE-GGA
State: relaxed

a b c (Å): 3.324 4.780 7.450
angles (deg): 90.00 90.00 90.00
Space group Pmm2 (No. 25)
Unique sites:
Ag (0.000, 0.000, 0.000)
Hg (0.000, 0.000, 0.608)
Hg (0.500, 0.500, 0.458)
Te (0.500, 0.500, 0.024)

Output
VASP energy in eV/f.u.: -6.3
Uncorrected formation energy in eV per atom: 0.07


[2]
Material: Ag2HgTe
Method: DFT, PBE-GGA
State: relaxed

a b c (Å): 7.688 8.772 3.158
angles (deg): 90.00 112.84 90.00
Space group C2/m (No. 12)
Unique sites:
Ag (0.250, 0.250, 0.000)
Hg (0.000, 0.000, 0.000)
Te (0.000, 0.500, 0.000)

Output
VASP energy in eV/f.u.: -8.6
Uncorrected formation energy in eV per atom: 0.13


[3]
Material: AgHg2Te2
Method: DFT, PBE-GGA
State: relaxed

a b c (Å): 4.970 4.970 12.392
angles (deg): 90.00 90.00 90.00
Space group I4/mmm (No. 139)
Unique sites:
Ag (0.000, 0.000, 0.000)
Hg (0.000, 0.000, 0.392)
Te (0.000, 0.500, 0.250)

Output
VASP energy in eV/f.u.: -7.8
Uncorrected formation energy in eV per atom: 0.40


[4]
Material: AgHg2Te
Method: DFT, PBE-GGA
State: relaxed

a b c (Å): 4.895 4.826 4.907
angles (deg): 90.00 105.96 90.00
Space group Pm (No. 6)
Unique sites:
Ag (0.000, 0.000, 0.000)
Hg (0.250, 0.500, 0.750)
Hg (0.510, 0.000, 0.490)
Te (0.820, 0.500, 0.182)

Output
VASP energy in eV/f.u.: -6.4
Uncorrected formation energy in eV per atom: 0.05


[5]
Material: Ag2HgTe
Method: DFT, PBE-GGA
State: relaxed

a b c (Å): 4.082 4.685 4.696
angles (deg): 90.00 90.00 90.00
Space group Pmmm (No. 47)
Unique sites:
Ag (0.000, 0.000, 0.000)
Ag (0.000, 0.500, 0.500)
Hg (0.500, 0.000, 0.500)
Te (0.500, 0.500, 0.000)

Output
VASP energy in eV/f.u.: -8.7
Uncorrected formation energy in eV per atom: 0.12


[6]
Material: Ag4HgTe3
Method: DFT, PBE-GGA
State: relaxed

a b c (Å): 15.255 6.580 9.698
angles (deg): 90.00 108.87 90.00
Space group Cc (No. 9)
Unique sites:
Ag (0.000, 0.091, 0.000)
Ag (0.087, 0.291, 0.480)
Ag (0.318, 0.346, 0.930)
Ag (0.425, 0.280, 0.733)
Hg (0.249, 0.164, 0.304)
Te (0.086, 0.058, 0.784)
Te (0.250, 0.485, 0.634)
Te (0.424, 0.016, 0.488)

Output
VASP energy in eV/f.u.: -21.4
Uncorrected formation energy in eV per atom: -0.03


[7]
Material: Ag4HgTe5
Method: DFT, PBE-GGA
State: relaxed

a b c (Å): 9.000 6.485 13.790
angles (deg): 90.00 129.18 90.00
Space group P2/c (No. 13)
Unique sites:
Ag (0.144, 0.037, 0.211)
Ag (0.215, 0.386, 0.976)
Hg (0.500, 0.382, 0.250)
Te (0.000, 0.380, 0.250)
Te (0.072, 0.227, 0.521)
Te (0.422, 0.174, 0.923)

Output
VASP energy in eV/f.u.: -27.1
Uncorrected formation energy in eV per atom: 0.03


[8]
Material: Ag5HgTe3
Method: DFT, PBE-GGA
State: relaxed

a b c (Å): 15.553 6.917 9.880
angles (deg): 90.00 118.02 90.00
Space group C2/c (No. 15)
Unique sites:
Ag (0.000, 0.237, 0.250)
Ag (0.147, 0.199, 0.591)
Ag (0.178, 0.228, 0.058)
Hg (0.000, 0.252, 0.750)
Te (0.000, 0.500, 0.000)
Te (0.184, 0.054, 0.337)

Output
VASP energy in eV/f.u.: -23.9
Uncorrected formation energy in eV per atom: 0.01


[9]
Material: Ag3HgTe
Method: DFT, PBE-GGA
State: relaxed

a b c (Å): 5.421 5.421 5.421
angles (deg): 90.00 90.00 90.00
Space group Pm-3m (No. 221)
Unique sites:
Ag (0.000, 0.000, 0.500)
Hg (0.500, 0.500, 0.500)
Te (0.000, 0.000, 0.000)

Output
VASP energy in eV/f.u.: -10.3
Uncorrected formation energy in eV per atom: 0.33


[10]
Material: Ag2HgTe
Method: DFT, PBE-GGA
State: relaxed

a b c (Å): 5.865 5.865 15.288
angles (deg): 90.00 90.00 90.00
Space group I-42d (No. 122)
Unique sites:
Ag (0.205, 0.250, 0.125)
Hg (0.000, 0.000, 0.500)
Te (0.000, 0.000, 0.000)

Output
VASP energy in eV/f.u.: -8.8
Uncorrected formation energy in eV per atom: 0.07


[11]
Material: AgHg2Te
Method: DFT, PBE-GGA
State: relaxed

a b c (Å): 14.725 3.030 5.218
angles (deg): 90.00 108.62 90.00
Space group C2/m (No. 12)
Unique sites:
Ag (0.000, 0.000, 0.000)
Hg (0.199, 0.500, 0.205)
Te (0.000, 0.500, 0.500)

Output
VASP energy in eV/f.u.: -6.2
Uncorrected formation energy in eV per atom: 0.09


[12]
Material: AgHg3Te4
Method: DFT, PBE-GGA
State: relaxed

a b c (Å): 9.216 7.978 7.664
angles (deg): 90.00 90.00 90.00
Space group Pmn2_1 (No. 31)
Unique sites:
Ag (0.000, 0.167, 0.000)
Hg (0.000, 0.831, 0.501)
Hg (0.250, 0.334, 0.501)
Te (0.000, 0.166, 0.638)
Te (0.000, 0.841, 0.128)
Te (0.244, 0.330, 0.128)

Output
VASP energy in eV/f.u.: -17.1
Uncorrected formation energy in eV per atom: -0.10


What did the tenth record say?
Material: Ag2HgTe
Method: DFT, PBE-GGA
State: relaxed

a b c (Å): 5.865 5.865 15.288
angles (deg): 90.00 90.00 90.00
Space group I-42d (No. 122)
Unique sites:
Ag (0.205, 0.250, 0.125)
Hg (0.000, 0.000, 0.500)
Te (0.000, 0.000, 0.000)

Output
VASP energy in eV/f.u.: -8.8
Uncorrected formation energy in eV per atom: 0.07


Question: The highest uncorrected formation energy belongs to which entry?
Answer: AgHg2Te2


Question: The highest uncorrected formation energy belongs to which entry?
Answer: AgHg2Te2